## a
First-principles (PBE-GGA) data for a relaxed YPaCoIr crystal, as listed in Alexandria.

```
YPaCoIr
1.0
0.000 3.408 3.408
3.408 0.000 3.408
3.408 3.408 0.000
Y Pa Co Ir
1 1 1 1
Direct
0.000 0.000 0.000 Y
0.500 0.500 0.500 Pa
0.750 0.750 0.750 Co
0.250 0.250 0.250 Ir
```

Results
M_tot	0.000	μB per formula unit

***

## b
First-principles (PBE-GGA) data for a relaxed YPaCoIr crystal, as listed in Alexandria.

```
YPaCoIr
1.0
4.237 0.000 0.000
0.000 1.824 5.409
0.000 -1.824 5.409
Y Pa Co Ir
1 1 1 1
Direct
0.000 0.000 0.000 Y
0.500 0.263 0.263 Pa
0.500 0.577 0.577 Co
0.000 0.733 0.733 Ir
```

Results
M_tot	0.000	μB per formula unit

***

The computed energies, referenced to the most stable structure and given in kJ/mol of atoms, are a 17.6; b 0.0.

***

## a
First-principles (PBE-GGA) data for a relaxed CoIrPb2 crystal, as listed in Alexandria.

```
CoIrPb2
1.0
3.378 0.000 0.000
0.000 3.386 0.000
-0.191 0.000 6.677
Co Ir Pb
1 1 2
Direct
0.000 0.000 0.000 Co
0.000 0.000 0.500 Ir
0.494 0.500 0.245 Pb
0.506 0.500 0.755 Pb
```

Results
M_tot	1.766	μB per formula unit

***

## b
First-principles (PBE-GGA) data for a relaxed CoIrPb2 crystal, as listed in Alexandria.

```
CoIrPb2
1.0
5.157 -1.542 0.000
5.157 1.542 0.000
-1.684 0.000 4.984
Co Ir Pb
1 1 2
Direct
0.000 0.000 0.000 Co
0.325 0.325 0.677 Ir
0.560 0.560 0.508 Pb
0.759 0.759 0.135 Pb
```

Results
M_tot	1.685	μB per formula unit

***

## c
First-principles (PBE-GGA) data for a relaxed CoIrPb2 crystal, as listed in Alexandria.

```
CoIrPb2
1.0
-3.029 3.029 5.987
3.029 -3.029 5.987
3.029 3.029 -5.987
Co Ir Pb
2 2 4
Direct
0.000 0.000 0.000 Co
0.750 0.250 0.500 Co
0.250 0.750 0.500 Ir
0.500 0.500 0.000 Ir
0.111 0.625 0.986 Pb
0.375 0.361 0.486 Pb
0.639 0.125 0.014 Pb
0.875 0.889 0.514 Pb
```

Results
M_tot	0.763	μB per formula unit

***

The computed energies, referenced to the most stable structure and given in kJ/mol of atoms, are a 6.3; b 0.0; c 43.1.

***

## a
First-principles (PBE-GGA) data for a relaxed CoIrPb2 crystal, as listed in Alexandria.

```
CoIrPb2
1.0
4.754 0.000 0.000
0.000 4.754 0.000
0.000 0.000 3.390
Co Ir Pb
1 1 2
Direct
0.000 0.000 0.000 Co
0.500 0.500 0.000 Ir
0.000 0.500 0.500 Pb
0.500 0.000 0.500 Pb
```

Results
M_tot	1.747	μB per formula unit

***

## b
First-principles (PBE-GGA) data for a relaxed CoIrPb2 crystal, as listed in Alexandria.

```
CoIrPb2
1.0
4.015 0.000 0.000
0.000 3.999 0.000
-1.995 0.000 5.040
Co Ir Pb
1 1 2
Direct
0.000 0.000 0.000 Co
0.865 0.500 0.733 Ir
0.278 0.000 0.558 Pb
0.575 0.500 0.154 Pb
```

Results
M_tot	1.028	μB per formula unit

***

The computed energies, referenced to the most stable structure and given in kJ/mol of atoms, are a 23.5; b 0.0.

***

## a
First-principles (PBE-GGA) data for a relaxed Co3IrPd crystal, as listed in Alexandria.

```
Co3IrPd
1.0
6.968 0.000 0.000
0.000 4.690 0.000
-3.228 0.000 7.913
Co Ir Pd
12 4 4
Direct
0.041 0.179 0.413 Co
0.041 0.321 0.913 Co
0.212 0.073 0.191 Co
0.212 0.427 0.691 Co
0.414 0.239 0.978 Co
0.414 0.261 0.478 Co
0.586 0.739 0.522 Co
0.586 0.761 0.022 Co
0.788 0.573 0.309 Co
0.788 0.927 0.809 Co
0.959 0.679 0.087 Co
0.959 0.821 0.587 Co
0.171 0.687 0.402 Ir
0.171 0.813 0.902 Ir
0.829 0.187 0.098 Ir
0.829 0.313 0.598 Ir
0.381 0.571 0.205 Pd
0.381 0.929 0.705 Pd
0.619 0.071 0.295 Pd
0.619 0.429 0.795 Pd
```

Results
M_tot	6.416	μB per formula unit

***

## b
First-principles (PBE-GGA) data for a relaxed Co3IrPd crystal, as listed in Alexandria.

```
Co3IrPd
1.0
4.518 0.000 0.000
0.000 4.518 0.000
0.000 0.000 4.518
Co Ir Pd
3 1 1
Direct
0.000 0.000 0.500 Co
0.000 0.500 0.000 Co
0.500 0.000 0.000 Co
0.000 0.000 0.000 Ir
0.500 0.500 0.500 Pd
```

Results
M_tot	6.995	μB per formula unit

***

The computed energies, referenced to the most stable structure and given in kJ/mol of atoms, are a 0.0; b 119.9.

***

## a
First-principles (PBE-GGA) data for a relaxed CoIrPd crystal, as listed in Alexandria.

```
CoIrPd
1.0
2.709 0.000 0.000
-1.355 2.346 0.000
0.000 0.000 6.534
Co Ir Pd
1 1 1
Direct
0.000 0.000 0.000 Co
0.667 0.333 0.310 Ir
0.333 0.667 0.672 Pd
```

Results
M_tot	2.445	μB per formula unit

***

## b
First-principles (PBE-GGA) data for a relaxed CoIrPd crystal, as listed in Alexandria.

```
CoIrPd
1.0
-1.355 1.355 5.607
1.355 -1.355 5.607
1.355 1.355 -5.607
Co Ir Pd
1 1 1
Direct
0.000 0.000 0.000 Co
0.350 0.350 0.000 Ir
0.666 0.666 0.000 Pd
```

Results
M_tot	2.345	μB per formula unit

***

The computed energies, referenced to the most stable structure and given in kJ/mol of atoms, are a 0.0; b 0.8.

***

## a
First-principles (PBE-GGA) data for a relaxed PmCoIr crystal, as listed in Alexandria.

```
PmCoIr
1.0
-2.582 2.727 3.709
2.582 -2.727 3.709
2.582 2.727 -3.709
Pm Co Ir
2 2 2
Direct
0.373 0.123 0.250 Pm
0.627 0.877 0.750 Pm
0.000 0.000 0.500 Co
0.000 0.500 0.000 Co
0.000 0.500 0.500 Ir
0.500 0.500 0.000 Ir
```

Results
M_tot	0.881	μB per formula unit

***

## b
First-principles (PBE-GGA) data for a relaxed PmCoIr crystal, as listed in Alexandria.

```
PmCoIr
1.0
4.092 0.000 0.000
-2.046 3.544 0.000
0.000 0.000 4.144
Pm Co Ir
1 1 1
Direct
0.000 0.000 0.000 Pm
0.333 0.667 0.500 Co
0.667 0.333 0.500 Ir
```

Results
M_tot	1.232	μB per formula unit

***

The computed energies, referenced to the most stable structure and given in kJ/mol of atoms, are a 0.0; b 5.2.

***

## a
First-principles (PBE-GGA) data for a relaxed Pm8Co2Ir crystal, as listed in Alexandria.

```
Pm8Co2Ir
1.0
4.104 -6.270 0.000
4.104 6.270 0.000
-2.133 0.000 6.013
Pm Co Ir
8 2 1
Direct
0.000 0.000 0.000 Pm
0.008 0.277 0.576 Pm
0.148 0.558 0.189 Pm
0.277 0.008 0.576 Pm
0.436 0.705 0.794 Pm
0.558 0.148 0.189 Pm
0.705 0.436 0.794 Pm
0.713 0.713 0.386 Pm
0.048 0.671 0.692 Co
0.671 0.048 0.692 Co
0.357 0.357 0.383 Ir
```

Results
M_tot	0.000	μB per formula unit

***

## b
First-principles (PBE-GGA) data for a relaxed Pm8Co2Ir crystal, as listed in Alexandria.

```
Pm8Co2Ir
1.0
8.768 -2.556 0.000
8.768 2.556 0.000
-1.206 0.000 6.584
Pm Co Ir
8 2 1
Direct
0.045 0.045 0.287 Pm
0.200 0.200 0.843 Pm
0.329 0.329 0.534 Pm
0.413 0.413 0.073 Pm
0.587 0.587 0.927 Pm
0.671 0.671 0.466 Pm
0.800 0.800 0.157 Pm
0.955 0.955 0.713 Pm
0.208 0.208 0.236 Co
0.792 0.792 0.764 Co
0.500 0.500 0.500 Ir
```

Results
M_tot	0.000	μB per formula unit

***

The computed energies, referenced to the most stable structure and given in kJ/mol of atoms, are a 4.8; b 0.0.

***

## a
First-principles (PBE-GGA) data for a relaxed Co2IrPt crystal, as listed in Alexandria.

```
Co2IrPt
1.0
4.413 -1.338 0.000
4.413 1.338 0.000
-0.878 0.000 4.471
Co Ir Pt
2 1 1
Direct
0.000 0.000 0.000 Co
0.742 0.742 0.250 Co
0.252 0.252 0.773 Ir
0.495 0.495 0.490 Pt
```

Results
M_tot	4.028	μB per formula unit

***

## b
First-principles (PBE-GGA) data for a relaxed Co2IrPt crystal, as listed in Alexandria.

```
Co2IrPt
1.0
2.675 0.000 0.000
0.000 3.643 0.000
0.000 0.000 5.398
Co Ir Pt
2 1 1
Direct
0.000 0.000 0.237 Co
0.000 0.000 0.763 Co
0.500 0.500 0.000 Ir
0.500 0.500 0.500 Pt
```

Results
M_tot	3.822	μB per formula unit

***

The computed energies, referenced to the most stable structure and given in kJ/mol of atoms, are a 1.8; b 0.0.

***

## a
First-principles (PBE-GGA) data for a relaxed Co2IrPt crystal, as listed in Alexandria.

```
Co2IrPt
1.0
2.663 -4.412 0.000
2.663 4.412 0.000
-1.261 0.000 2.338
Co Ir Pt
2 1 1
Direct
0.000 0.500 0.000 Co
0.500 0.000 0.000 Co
0.000 0.000 0.500 Ir
0.500 0.500 0.500 Pt
```

Results
M_tot	4.684	μB per formula unit

***

## b
First-principles (PBE-GGA) data for a relaxed Co2IrPt crystal, as listed in Alexandria.

```
Co2IrPt
1.0
1.345 0.777 8.536
-1.345 0.777 8.536
0.000 -1.553 8.536
Co Ir Pt
2 1 1
Direct
0.249 0.249 0.249 Co
0.751 0.751 0.751 Co
0.500 0.500 0.500 Ir
0.000 0.000 0.000 Pt
```

Results
M_tot	4.242	μB per formula unit

***

## c
First-principles (PBE-GGA) data for a relaxed Co2IrPt crystal, as listed in Alexandria.

```
Co2IrPt
1.0
-1.866 1.866 3.777
1.866 -1.866 3.777
1.866 1.866 -3.777
Co Ir Pt
2 1 1
Direct
0.000 0.000 0.000 Co
0.750 0.250 0.500 Co
0.500 0.500 0.000 Ir
0.250 0.750 0.500 Pt
```

Results
M_tot	3.761	μB per formula unit

***

## d
First-principles (PBE-GGA) data for a relaxed Co2IrPt crystal, as listed in Alexandria.

```
Co2IrPt
1.0
-1.905 1.905 3.644
1.905 -1.905 3.644
1.905 1.905 -3.644
Co Ir Pt
2 1 1
Direct
0.250 0.750 0.500 Co
0.750 0.250 0.500 Co
0.000 0.000 0.000 Ir
0.500 0.500 0.000 Pt
```

Results
M_tot	4.501	μB per formula unit

***

The computed energies, referenced to the most stable structure and given in kJ/mol of atoms, are a 18.1; b 0.0; c 2.2; d 1.2.

***

## a
First-principles (PBE-GGA) data for a relaxed Co2Ir2Pt crystal, as listed in Alexandria.

```
Co2Ir2Pt
1.0
7.179 0.000 0.000
0.000 7.179 0.000
0.000 0.000 2.713
Co Ir Pt
4 4 2
Direct
0.168 0.332 0.000 Co
0.332 0.832 0.000 Co
0.668 0.168 0.000 Co
0.832 0.668 0.000 Co
0.130 0.630 0.500 Ir
0.370 0.130 0.500 Ir
0.630 0.870 0.500 Ir
0.870 0.370 0.500 Ir
0.000 0.000 0.500 Pt
0.500 0.500 0.500 Pt
```

Results
M_tot	4.280	μB per formula unit

***

## b
First-principles (PBE-GGA) data for a relaxed Co2Ir2Pt crystal, as listed in Alexandria.

```
Co2Ir2Pt
1.0
7.141 0.000 0.000
0.000 7.141 0.000
0.000 0.000 2.696
Co Ir Pt
4 4 2
Direct
0.122 0.378 0.000 Co
0.378 0.878 0.000 Co
0.622 0.122 0.000 Co
0.878 0.622 0.000 Co
0.172 0.672 0.500 Ir
0.328 0.172 0.500 Ir
0.672 0.828 0.500 Ir
0.828 0.328 0.500 Ir
0.000 0.000 0.000 Pt
0.500 0.500 0.000 Pt
```

Results
M_tot	4.373	μB per formula unit

***

The computed energies, referenced to the most stable structure and given in kJ/mol of atoms, are a 1.1; b 0.0.

***

## a
First-principles (PBE-GGA) data for a relaxed CoReIr4 crystal, as listed in Alexandria.

```
CoReIr4
1.0
0.000 3.593 3.593
3.593 0.000 3.593
3.593 3.593 0.000
Co Re Ir
1 1 4
Direct
0.000 0.000 0.000 Co
0.250 0.250 0.250 Re
0.124 0.625 0.625 Ir
0.625 0.124 0.625 Ir
0.625 0.625 0.124 Ir
0.625 0.625 0.625 Ir
```

Results
M_tot	1.488	μB per formula unit

***

## b
First-principles (PBE-GGA) data for a relaxed CoReIr4 crystal, as listed in Alexandria.

```
CoReIr4
1.0
3.606 -2.083 0.000
3.606 2.083 0.000
-2.411 0.000 6.510
Co Re Ir
1 1 4
Direct
0.000 0.000 0.000 Co
0.500 0.500 0.500 Re
0.124 0.124 0.373 Ir
0.371 0.371 0.112 Ir
0.629 0.629 0.888 Ir
0.876 0.876 0.627 Ir
```

Results
M_tot	1.966	μB per formula unit

***

The computed energies, referenced to the most stable structure and given in kJ/mol of atoms, are a 23.1; b 0.0.

***

## a
First-principles (PBE-GGA) data for a relaxed CoReIr2 crystal, as listed in Alexandria.

```
CoReIr2
1.0
2.708 0.000 0.000
0.000 2.708 0.000
0.000 0.000 7.482
Co Re Ir
1 1 2
Direct
0.000 0.000 0.000 Co
0.500 0.500 0.763 Re
0.000 0.000 0.504 Ir
0.500 0.500 0.236 Ir
```

Results
M_tot	1.387	μB per formula unit

***

## b
First-principles (PBE-GGA) data for a relaxed CoReIr2 crystal, as listed in Alexandria.

```
CoReIr2
1.0
4.448 -1.353 0.000
4.448 1.353 0.000
-0.818 0.000 4.587
Co Re Ir
1 1 2
Direct
0.000 0.000 0.000 Co
0.749 0.749 0.250 Re
0.250 0.250 0.765 Ir
0.500 0.500 0.491 Ir
```

Results
M_tot	0.986	μB per formula unit

***

The computed energies, referenced to the most stable structure and given in kJ/mol of atoms, are a 1.3; b 0.0.